# 1
Here is TlTcPb at its PBEsol-relaxed geometry from Alexandria via LeMat-Bulk. Energies are from meta-GGA SCAN.

Cell lengths 2.9658, 4.9752, 4.9752 Å; angles 120.00, 90.00, 90.00 degrees
Fractional positions:
Pb  0.8365  0.0000  0.0000
Tc  0.8281  0.3333  0.6667
Tl  0.3353  0.6667  0.3333



# 2
Here is TlTc2Pb at its PBEsol-relaxed geometry from Alexandria via LeMat-Bulk. Energies are from meta-GGA SCAN.

Computed properties:
- Offset from the most stable computed form: 310 meV/atom

Cell lengths 3.1376, 5.2069, 5.7759 Å; angles 66.02, 74.24, 72.46 degrees
Fractional positions:
Pb  0.7154  0.7624  0.8068
Tc  0.9388  0.1591  0.9634
Tc  0.3079  0.0864  0.2978
Tl  0.5380  0.4922  0.4319



# 3
Here is TlTc2Pb at its PBEsol-relaxed geometry from Alexandria via LeMat-Bulk. Energies are from meta-GGA SCAN.

Computed properties:
- Offset from the most stable computed form: 628 meV/atom

Cell lengths 3.1793, 4.4916, 5.1942 Å; angles 90.00, 90.00, 90.00 degrees
Fractional positions:
Pb  0.0000  0.5000  0.5000
Tc  0.0000  0.0000  0.0000
Tc  0.5000  0.0000  0.5000
Tl  0.5000  0.5000  0.0000



# 4
Here is TlTc2Pb at its PBEsol-relaxed geometry from Alexandria via LeMat-Bulk. Energies are from meta-GGA SCAN.

Computed properties:
- Offset from the most stable computed form: 0 meV/atom

Cell lengths 3.0377, 3.0377, 8.6691 Å; angles 90.00, 90.00, 90.00 degrees
Fractional positions:
Pb  0.5000  0.5000  0.7973
Tc  0.0000  0.0000  0.0489
Tc  0.5000  0.5000  0.2044
Tl  0.0000  0.0000  0.4494



Number 1: D(E_F) 2.2 states/eV per cell, ΔE_f 0.9434 eV/atom, electronic total energy -60.123 eV per atom. Number 2: D(E_F) 2.0 states/eV per cell, ΔE_f 0.6169 eV/atom, electronic total energy -53.948 eV per atom. Number 3: D(E_F) 3.1 states/eV per cell, ΔE_f 0.9346 eV/atom, electronic total energy -53.630 eV per atom. Number 4: D(E_F) 2.2 states/eV per cell, ΔE_f 0.3065 eV/atom, electronic total energy -54.258 eV per atom.